A plane-wave DFT calculation with GGA+U was carried out for crystalline La4MgGa2Fe2O12 at its relaxed geometry.

Cell lengths 5.5014, 5.7425, 10.0428 Å; angles 89.31, 75.11, 89.27 degrees
With the nearest neighbours (Å) after each atom.
Fractional positions:
La  0.6329  0.4833  0.3250  4 O 2.32-2.59
La  0.1034  0.0140  0.3042  3 O 2.24-2.44
La  0.4917  0.4951  0.7056  6 O 2.46-2.65
La  0.9703  0.9781  0.6866  4 O 2.30-2.51
Mg  0.2833  0.5422  0.0895  4 O 1.95-2.01
Ga  0.8571  0.4261  0.9314  4 O 1.83-1.89
Ga  0.5359  0.0003  0.5084  6 O 1.95-2.16
Fe  0.0503  0.5010  0.5026  4 O 2.00-2.05
Fe  0.3618  0.0405  0.9216  4 O 1.92-2.11
O  0.6596  0.0774  0.3133  1 Ga 1.95
O  0.1062  0.4262  0.2761  1 Mg 1.99
O  0.3997  0.9161  0.7243  1 Fe 2.07, 1 Ga 2.16
O  0.8812  0.6041  0.7691  1 Ga 1.89
O  0.7782  0.7389  0.5004  1 Ga 1.98, 1 Fe 2.02
O  0.2122  0.8758  0.0896  1 Fe 1.92, 1 Mg 1.95
O  0.1963  0.3760  0.9328  1 Ga 1.89, 1 Mg 2.01, 1 Fe 2.11
O  0.7923  0.2376  0.5454  1 Fe 2.05, 1 Ga 2.08
O  0.3044  0.2799  0.5450  1 Fe 2.00, 1 Ga 2.01
O  0.7032  0.1788  0.8660  1 Ga 1.87, 1 Fe 1.99
O  0.6428  0.5190  0.0934  1 Ga 1.83, 1 Mg 1.99
O  0.2871  0.7776  0.4699  1 Ga 2.00, 1 Fe 2.04

Output
The calculation puts the magnetic moment at 2.00 μB/cell. As for the symmetry: P1. As for the total energy: -148.085 eV/cell.